1.
! Ac2HfRuO6, relaxed, DFT GGA-PBE; values from VASP
&SYSTEM
  ibrav = 0, nat = 20, ntyp = 4
/
ATOMIC_SPECIES
O 16.00 O.upf
Ru 101.07 Ru.upf
Ac 227.00 Ac.upf
Hf 178.49 Hf.upf
ATOMIC_POSITIONS crystal
O 0.000 0.750 0.752
O 0.751 0.998 0.000
O 0.500 0.250 0.748
O 0.251 0.498 0.500
O 0.249 0.502 0.000
O 0.749 0.498 0.500
O 0.749 0.002 0.500
O 0.249 0.998 0.000
O 0.751 0.502 0.000
O 0.500 0.250 0.252
O 0.251 0.002 0.500
O 0.000 0.750 0.248
Ru 0.500 0.250 0.000
Ru 0.000 0.750 0.500
Ac 0.000 0.250 0.250
Ac 0.000 0.250 0.750
Ac 0.500 0.750 0.750
Ac 0.500 0.750 0.250
Hf 0.500 0.250 0.500
Hf 0.000 0.750 0.000
CELL_PARAMETERS angstrom
5.803 0.000 0.000
0.000 5.814 0.000
0.000 0.000 8.216
! - SG: Immm
! - Formation energy without anion corrections: -2.737 eV per atom

=====

2.
! LuInIr4, relaxed, DFT GGA-PBE; values from VASP
&SYSTEM
  ibrav = 0, nat = 6, ntyp = 3
/
ATOMIC_SPECIES
In 114.82 In.upf
Lu 174.97 Lu.upf
Ir 192.22 Ir.upf
ATOMIC_POSITIONS crystal
In 0.000 0.000 0.000
Lu 0.250 0.250 0.250
Ir 0.625 0.625 0.124
Ir 0.625 0.124 0.625
Ir 0.124 0.625 0.625
Ir 0.625 0.625 0.625
CELL_PARAMETERS angstrom
-1.482 -5.075 0.250
0.338 -3.071 -4.298
3.641 -3.835 -0.233
! - SG: F-43m
! - DFT total energy: -7.497 eV/atom

=====

Number 1: magnetic moment 0.0 μB per formula unit. Number 2: magnetic moment 0.0 μB per formula unit.